NaScMnTe3 after structural relaxation, computed with GGA-PBE.

Properties
Total DFT energy (no corrections) in eV per atom: -5.1701
E_form (uncorrected) in eV/atom: -0.796
Total magnetization in μB per cell: 9.58

Cell lengths 8.803, 4.235, 10.078 Å; angles 90.00, 106.38, 90.00 degrees
Space group P2_1/m (No. 11)
One atom of each set of equivalent atoms:
Na (0.199, 0.250, 0.233) (multiplicity 2)
Sc (0.333, 0.750, 0.854) (multiplicity 2)
Mn (0.083, 0.250, 0.603) (multiplicity 2)
Te (0.101, 0.250, 0.869) (multiplicity 2)
Te (0.241, 0.750, 0.535) (multiplicity 2)
Te (0.441, 0.750, 0.157) (multiplicity 2)